The following is a DFT calculation (SCAN) of a crystal of Tc3PSe relaxed with PBEsol.

```
Tc3PSe
1.0
4.355 0.000 0.000
0.000 4.355 0.000
0.000 0.000 4.355
Tc P Se
3 1 1
Cartesian
0.000 0.000 2.178
0.000 2.178 0.000
2.178 0.000 0.000
0.000 0.000 0.000
2.178 2.178 2.178
```

Calculated values
- Electronic total energy: -26.37 eV per atom
- E_form (uncorrected): 0.76 eV per atom